## CuW2 (PBE)

Data for a relaxed structure of CuW2.

## Properties
Mass density = 15.58 g/cm3
Formation energy = 0.5414 eV per atom
Magnetization = 0.000 μB per formula unit

a b c (Å): 2.663 2.663 25.924
angles (deg): 90.00 90.00 90.00
Space group I4_1/amd (No. 141, origin choice 2)
Inequivalent atoms, fractional coordinates:
Cu: 0.000 0.250 0.375 [4 per cell]
W: 0.000 0.250 0.798 [8 per cell]


## Cd12Au3F5 (PBE)

Data for a relaxed structure of Cd12Au3F5.

## Properties
E_form (uncorrected) = -745 meV per atom
Mass density = 7.61 g/cm3
Magnetization = 0.000 μB per formula unit

a b c (Å): 15.261 15.261 15.261
angles (deg): 90.00 90.00 90.00
Space group Ia-3d (No. 230)
Inequivalent atoms, fractional coordinates:
Cd: 0.023 0.070 0.654 [96 per cell]
Au: 0.000 0.250 0.125 [24 per cell]
F: 0.000 0.000 0.000 [16 per cell]
F: 0.000 0.250 0.375 [24 per cell]


## CePm3Dy6Ho2 (PBE)

Data for a relaxed structure of CePm3Dy6Ho2.

## Properties
Mass density = 8.12 g/cm3
Formation energy = 0.0339 eV per atom
Magnetization = 1.152 μB per formula unit

a b c (Å): 6.182 10.705 11.801
angles (deg): 90.00 100.05 90.00
Space group C2/m (No. 12)
Inequivalent atoms, fractional coordinates:
Ce: 0.000 0.000 0.000 [2 per cell]
Pm: 0.000 0.168 0.500 [4 per cell]
Pm: 0.000 0.500 0.500 [2 per cell]
Dy: 0.248 0.166 0.247 [8 per cell]
Dy: 0.249 0.000 0.753 [4 per cell]
Ho: 0.000 0.333 0.000 [4 per cell]


## AlNiCl2 (PBE)

Data for a relaxed structure of AlNiCl2.

## Properties
E_form (uncorrected) = 46 meV per atom
Mass density = 3.63 g/cm3
Magnetization = 0.244 μB per formula unit

a b c (Å): 3.133 3.981 5.743
angles (deg): 90.00 90.00 90.00
Space group Pmmm (No. 47)
Inequivalent atoms, fractional coordinates:
Al: 0.000 0.000 0.000 [1 per cell]
Ni: 0.500 0.000 0.500 [1 per cell]
Cl: 0.000 0.500 0.500 [1 per cell]
Cl: 0.500 0.500 0.000 [1 per cell]


## LiTaP2 (PBE)

Data for a relaxed structure of LiTaP2.

## Properties
Mass density = 6.55 g/cm3
Formation energy = -0.3409 eV per atom
Magnetization = 0.000 μB per formula unit

a b c (Å): 3.598 4.756 7.400
angles (deg): 90.00 90.00 90.00
Space group Cmmm (No. 65)
Inequivalent atoms, fractional coordinates:
Li: 0.000 0.000 0.000 [2 per cell]
Ta: 0.000 0.000 0.500 [2 per cell]
P: 0.000 0.500 0.260 [4 per cell]


## LiAc2N2Cl2 (PBE)

Data for a relaxed structure of LiAc2N2Cl2.

## Properties
E_form (uncorrected) = -1413 meV per atom
Mass density = 6.70 g/cm3
Magnetization = 0.021 μB per formula unit

a b c (Å): 4.146 4.146 16.152
angles (deg): 90.00 90.00 90.00
Space group I4/mmm (No. 139)
Inequivalent atoms, fractional coordinates:
Li: 0.000 0.000 0.000 [2 per cell]
Ac: 0.000 0.000 0.398 [4 per cell]
N: 0.000 0.500 0.000 [4 per cell]
Cl: 0.000 0.000 0.185 [4 per cell]


Which formula does entry 4 have?
AlNiCl2